(1)
# YTlCuAu

A relaxed YTlCuAu crystal (GGA-PBE, the Alexandria database).

- Magnetization: 0.0 μB/f.u.
- DFT formation energy: -33 kJ/mol of atoms
- Total energy: -4.395 eV/atom

a = 6.926 Å, b = 6.926 Å, c = 6.926 Å
α = 90.00°, β = 90.00°, γ = 90.00°
Fractional coordinates of all 16 atoms:
Y 0.000 0.000 0.000
Y 0.000 0.500 0.500
Y 0.500 0.000 0.500
Y 0.500 0.500 0.000
Tl 0.000 0.000 0.500
Tl 0.000 0.500 0.000
Tl 0.500 0.000 0.000
Tl 0.500 0.500 0.500
Cu 0.250 0.250 0.250
Cu 0.250 0.750 0.750
Cu 0.750 0.250 0.750
Cu 0.750 0.750 0.250
Au 0.250 0.250 0.750
Au 0.250 0.750 0.250
Au 0.750 0.250 0.250
Au 0.750 0.750 0.750

=====

(2)
# ScHg2

A relaxed ScHg2 crystal (GGA-PBE, the Alexandria database).

- Magnetization: 0.0 μB/f.u.
- DFT formation energy: -21 kJ/mol of atoms
- Total energy: -2.531 eV/atom

a = 3.569 Å, b = 3.569 Å, c = 6.480 Å
α = 90.00°, β = 90.00°, γ = 120.00°
Fractional coordinates of all 3 atoms:
Sc 0.000 0.000 0.000
Hg 0.333 0.667 0.675
Hg 0.667 0.333 0.325

=====

(3)
# Li2Ga2BRh4

A relaxed Li2Ga2BRh4 crystal (GGA-PBE, the Alexandria database).

- Magnetization: 0.0 μB/f.u.
- DFT formation energy: -46 kJ/mol of atoms
- Total energy: -5.588 eV/atom

a = 5.317 Å, b = 5.317 Å, c = 5.317 Å
α = 112.40°, β = 112.40°, γ = 103.75°
Fractional coordinates of all 9 atoms:
Li 0.197 0.197 0.000
Li 0.803 0.803 0.000
Ga 0.250 0.750 0.500
Ga 0.750 0.250 0.500
B 0.500 0.500 0.000
Rh 0.258 0.258 0.516
Rh 0.258 0.742 0.000
Rh 0.742 0.258 0.000
Rh 0.742 0.742 0.484

=====

(4)
# YFe2

A relaxed YFe2 crystal (GGA-PBE, the Alexandria database).

- Magnetization: 4.9 μB/f.u.
- DFT formation energy: 15 kJ/mol of atoms
- Total energy: -7.643 eV/atom

a = 3.247 Å, b = 3.247 Å, c = 9.973 Å
α = 90.00°, β = 90.00°, γ = 90.00°
Fractional coordinates of all 6 atoms:
Y 0.000 0.000 0.000
Y 0.500 0.500 0.500
Fe 0.000 0.000 0.300
Fe 0.000 0.000 0.700
Fe 0.500 0.500 0.200
Fe 0.500 0.500 0.800

=====

Number 1: DOS(E_F) 2.1 states/eV/f.u.. Number 2: DOS(E_F) 1.4 states/eV/f.u.. Number 3: DOS(E_F) 2.5 states/eV/f.u.. Number 4: DOS(E_F) 2.3 states/eV/f.u..